# Eu2GdDy

Crystalline Eu2GdDy at its relaxed geometry (PBE, Alexandria).

Properties
Calculated formation energy = 0.16 eV per atom
M_tot = 7.23 μB/f.u.
ρ = 7.28 g/cm³
DOS(E_F) = 5.119 states/eV/cell

```
data_Eu2GdDy
_chemical_formula_sum 'Eu2 Gd1 Dy1'
_cell_length_a 5.8726
_cell_length_b 5.8726
_cell_length_c 4.1230
_cell_angle_alpha 90.00
_cell_angle_beta 90.00
_cell_angle_gamma 90.00
_symmetry_space_group_name_H-M 'P 4/m m m'
_symmetry_Int_Tables_number 123
_symmetry_space_group_name_Hall '-P 4 2'
loop_
_atom_site_label
_atom_site_type_symbol
_atom_site_fract_x
_atom_site_fract_y
_atom_site_fract_z
_atom_site_occupancy
Eu1 Eu 0.0000 0.5000 0.0000 1
Gd1 Gd 0.0000 0.0000 0.5000 1
Dy1 Dy 0.5000 0.5000 0.5000 1
```